1.
Below is a relaxed Ca2BF crystal, with properties calculated at the GGA-PBE level.

Cell: 6.606 6.606 6.606 Å, 90.00 90.00 90.00°
Space group Fm-3m (No. 225)
Asymmetric unit:
1 Ca 0.250 0.250 0.250 (multiplicity 8)
2 B 0.000 0.000 0.000 (multiplicity 4)
3 F 0.000 0.000 0.500 (multiplicity 4)

Values from the calculation:
Size of the total moment in μB/atom: 0.5000
V in Å³/cell: 288
Energy relative to the lowest polymorph listed for this composition in meV per atom: 229

***

2.
Below is a relaxed NiRu3Pb crystal, with properties calculated at the GGA-PBE level.

Cell: 4.962 4.962 4.962 Å, 90.00 90.00 90.00°
Space group Pm-3m (No. 221)
Asymmetric unit:
1 Ni 0.000 0.000 0.000 (multiplicity 1)
2 Ru 0.000 0.500 0.500 (multiplicity 3)
3 Pb 0.500 0.500 0.500 (multiplicity 1)

Values from the calculation:
Size of the total moment in μB/atom: 1.1756
V in Å³/cell: 122
Energy relative to the lowest polymorph listed for this composition in meV per atom: 1264
Formation energy from the elements in kJ/mol of atoms: 241.2

***

3.
Below is a relaxed Rb4InI2 crystal, with properties calculated at the GGA-PBE level.

Cell: 6.856 6.856 19.539 Å, 90.00 90.00 90.00°
Space group I4/mmm (No. 139)
Asymmetric unit:
1 Rb 0.000 0.000 0.188 (multiplicity 4)
2 Rb 0.000 0.500 0.000 (multiplicity 4)
3 In 0.000 0.000 0.000 (multiplicity 2)
4 I 0.000 0.000 0.370 (multiplicity 4)

Values from the calculation:
Size of the total moment in μB/atom: 0.0001
V in Å³/cell: 918
Uncorrected energy in eV/atom: -1.95

***

> Which value of size of the total moment does entry 2 give?

1.1756 μB/atom

***

Please write out number 1 again, unchanged.
Below is a relaxed Ca2BF crystal, with properties calculated at the GGA-PBE level.

Cell: 6.606 6.606 6.606 Å, 90.00 90.00 90.00°
Space group Fm-3m (No. 225)
Asymmetric unit:
1 Ca 0.250 0.250 0.250 (multiplicity 8)
2 B 0.000 0.000 0.000 (multiplicity 4)
3 F 0.000 0.000 0.500 (multiplicity 4)

Values from the calculation:
Size of the total moment in μB/atom: 0.5000
V in Å³/cell: 288
Energy relative to the lowest polymorph listed for this composition in meV per atom: 229

***

What did the first record say?
Below is a relaxed Ca2BF crystal, with properties calculated at the GGA-PBE level.

Cell: 6.606 6.606 6.606 Å, 90.00 90.00 90.00°
Space group Fm-3m (No. 225)
Asymmetric unit:
1 Ca 0.250 0.250 0.250 (multiplicity 8)
2 B 0.000 0.000 0.000 (multiplicity 4)
3 F 0.000 0.000 0.500 (multiplicity 4)

Values from the calculation:
Size of the total moment in μB/atom: 0.5000
V in Å³/cell: 288
Energy relative to the lowest polymorph listed for this composition in meV per atom: 229